Entry 1:
Density functional theory data (PBE) for a relaxed Ac2Be3Ge4Au crystal.

The total energy comes out at -4.497 eV per atom. Its energy of formation from the pure elements is -383 meV per atom.

It has space group P-4m2 (No. 115), with a = 4.373 Å, b = 4.373 Å, c = 10.060 Å, α = 90.00°, β = 90.00° and γ = 90.00°. The distinct sites, in fractional coordinates, are Ac at (0.000, 0.500, 0.245), Be at (0.000, 0.500, 0.882), Be at (0.500, 0.500, 0.500), Ge at (0.000, 0.000, 0.000), Ge at (0.000, 0.500, 0.644), Ge at (0.500, 0.500, 0.000) and Au at (0.000, 0.000, 0.500).

***

Entry 2:
Density functional theory data (PBE) for a relaxed GdErPt crystal.

The total energy comes out at -9.086 eV per atom. Its energy of formation from the pure elements is -858 meV per atom. The excess energy over the best structure of this formula in the dataset is 0.00 eV per formula unit.

It has space group F-43m (No. 216), with a = 6.880 Å, b = 6.880 Å, c = 6.880 Å, α = 90.00°, β = 90.00° and γ = 90.00°. The distinct sites, in fractional coordinates, are Gd at (0.000, 0.000, 0.000), Er at (0.000, 0.000, 0.500) and Pt at (0.250, 0.250, 0.750).

***

Entry 3:
Density functional theory data (PBE) for a relaxed La2BeTeC crystal.

The total energy comes out at -5.774 eV per atom.

It has space group P4/mmm (No. 123), with a = 5.517 Å, b = 5.517 Å, c = 3.602 Å, α = 90.00°, β = 90.00° and γ = 90.00°. The distinct sites, in fractional coordinates, are La at (0.000, 0.500, 0.000), Be at (0.000, 0.000, 0.500), Te at (0.500, 0.500, 0.500) and C at (0.000, 0.000, 0.000).

***

Entry 4:
Density functional theory data (PBE) for a relaxed Mg5Sc6Cd crystal.

The total energy comes out at -3.992 eV per atom. Its energy of formation from the pure elements is -86 meV per atom.

It has space group Cmmm (No. 65), with a = 5.075 Å, b = 15.262 Å, c = 7.113 Å, α = 90.00°, β = 90.00° and γ = 90.00°. The distinct sites, in fractional coordinates, are Mg at (0.000, 0.000, 0.000), Mg at (0.000, 0.330, 0.500), Mg at (0.000, 0.333, 0.000), Sc at (0.000, 0.166, 0.250), Sc at (0.000, 0.500, 0.251) and Cd at (0.000, 0.000, 0.500).

***

Entry 5:
Density functional theory data (PBE) for a relaxed CaYCl crystal.

The total energy comes out at -4.387 eV per atom. The excess energy over the best structure of this formula in the dataset is 0.00 eV per formula unit.

It has space group P3m1 (No. 156), with a = 3.7195 Å, b = 3.7195 Å, c = 7.0992 Å, α = 90.00°, β = 90.00° and γ = 120.00°. The distinct sites, in fractional coordinates, are Ca at (0.0000, 0.0000, 0.0000), Y at (0.6667, 0.3333, 0.5962) and Cl at (0.3333, 0.6667, 0.3044).

***

Entry 6:
Density functional theory data (PBE) for a relaxed MnSbRuI2 crystal.

The total energy comes out at -4.422 eV per atom. The excess energy over the best structure of this formula in the dataset is 0.00 eV per formula unit.

It has space group P4/mmm (No. 123), with a = 5.544 Å, b = 5.544 Å, c = 5.011 Å, α = 90.00°, β = 90.00° and γ = 90.00°. The distinct sites, in fractional coordinates, are Mn at (0.000, 0.000, 0.000), Sb at (0.500, 0.500, 0.000), Ru at (0.500, 0.500, 0.500) and I at (0.000, 0.500, 0.500).

***

Entry 7:
Density functional theory data (PBE) for a relaxed Y2PaC crystal.

The total energy comes out at -7.799 eV per atom. Its energy of formation from the pure elements is 113 meV per atom.

It has space group R-3m (No. 166, hexagonal axes), with a = 3.4095 Å, b = 3.4095 Å, c = 28.8057 Å, α = 90.00°, β = 90.00° and γ = 120.00°. The distinct sites, in fractional coordinates, are Y at (0.0000, 0.0000, 0.1186), Pa at (0.0000, 0.0000, 0.0000) and C at (0.0000, 0.0000, 0.5000).

***

Entry 8:
Density functional theory data (PBE) for a relaxed Pm6Pr4Er crystal.

The total energy comes out at -4.600 eV per atom. Its energy of formation from the pure elements is 144 meV per atom. The excess energy over the best structure of this formula in the dataset is 0.00 eV per formula unit.

It has space group P-6m2 (No. 187), with a = 11.1180 Å, b = 11.1180 Å, c = 3.6347 Å, α = 90.00°, β = 90.00° and γ = 120.00°. The distinct sites, in fractional coordinates, are Pm at (0.1831, 0.3662, 0.0000), Pm at (0.5289, 0.0577, 0.5000), Pr at (0.3154, 0.1577, 0.0000), Pr at (0.3333, 0.6667, 0.5000) and Er at (0.0000, 0.0000, 0.5000).